(1)
{"formula": "MnSn5Cl12", "functional": "GGA-PBE", "state": "relaxed", "sg": "C2/m (12)", "energy_ev_per_atom": -3.835, "lattice": [[-3.0918, -5.3939, -3.6933], [-4.6520, -4.4600, 3.3286], [-9.9251, 7.8336, -3.2881]], "species": ["Cl", "Cl", "Cl", "Cl", "Cl", "Cl", "Cl", "Cl", "Cl", "Cl", "Cl", "Cl", "Sn", "Sn", "Sn", "Sn", "Sn", "Mn"], "frac_coords": [[0.1684, 0.3333, 0.3805], [0.9970, 0.7040, 0.1058], [0.7009, 0.2960, 0.1058], [0.3056, 0.0000, 0.1071], [0.5017, 0.6667, 0.3805], [0.6944, 0.0000, 0.8929], [0.2991, 0.7040, 0.8942], [0.1649, 0.0000, 0.6186], [0.8316, 0.6667, 0.6195], [0.0030, 0.2960, 0.8942], [0.8351, 0.0000, 0.3814], [0.4983, 0.3333, 0.6195], [0.1666, 0.6669, 0.5000], [0.6655, 0.6692, 0.0000], [0.8334, 0.3332, 0.5000], [0.5000, 0.0000, 0.5000], [0.3346, 0.3308, 0.0000], [0.0000, 0.0000, 0.0000]]}

=====

(2)
{"formula": "Y4TlSnO", "functional": "GGA-PBE", "state": "relaxed", "sg": "Cmcm (63)", "energy_ev_per_atom": -6.517, "lattice": [[-6.0510, 1.9993, 1.2125], [-1.6582, -1.3035, -6.1256], [0.8766, -8.8719, 1.6506]], "species": ["O", "O", "Y", "Y", "Y", "Y", "Y", "Y", "Y", "Y", "Tl", "Tl", "Sn", "Sn"], "frac_coords": [[0.2726, 0.7500, 0.5452], [0.7274, 0.2500, 0.4548], [0.5814, 0.2500, 0.1628], [0.0692, 0.7500, 0.1383], [0.0000, 0.0000, 0.5000], [0.5000, 0.0000, 0.5000], [0.9308, 0.2500, 0.8617], [0.4186, 0.7500, 0.8372], [0.5000, 0.5000, 0.5000], [0.0000, 0.5000, 0.5000], [0.8876, 0.7500, 0.7751], [0.1124, 0.2500, 0.2249], [0.3895, 0.2500, 0.7789], [0.6105, 0.7500, 0.2211]]}

=====

(3)
{"formula": "Tb3Co2", "functional": "GGA-PBE", "state": "relaxed", "sg": "Immm (71)", "energy_ev_per_atom": -5.759, "lattice": [[-3.6474, -1.2167, 0.3948], [-0.1516, -4.3902, 3.9899], [-1.8884, 1.2981, 5.4740]], "species": ["Tb", "Tb", "Tb", "Co", "Co"], "frac_coords": [[0.0000, 0.0000, 0.0000], [0.8074, 0.6926, 0.6926], [0.1926, 0.3074, 0.3074], [0.5000, 0.6856, 0.3144], [0.5000, 0.3144, 0.6856]]}

=====

(4)
{"formula": "YTaCuSe2", "functional": "GGA-PBE", "state": "relaxed", "sg": "P4/mmm (123)", "energy_ev_per_atom": -5.561, "lattice": [[-4.1783, -1.2749, -2.1234], [-0.3049, -3.7488, 2.8507], [-2.4568, 2.6610, 3.2366]], "species": ["Ta", "Se", "Se", "Y", "Cu"], "frac_coords": [[0.0000, 0.5000, 0.0000], [0.0000, 0.0000, 0.5000], [0.5000, 0.0000, 0.0000], [0.5000, 0.5000, 0.5000], [0.0000, 0.0000, 0.0000]]}

=====

(5)
{"formula": "TbPr3Y6Tm2", "functional": "GGA-PBE", "state": "relaxed", "sg": "C2/m (12)", "energy_ev_per_atom": -5.537, "lattice": [[6.2296, 0.0001, 0.0041], [-3.1132, 5.3959, 0.0041], [-1.0447, -1.8088, 11.6901]], "species": ["Y", "Y", "Y", "Y", "Y", "Y", "Pr", "Pr", "Pr", "Tb", "Tm", "Tm"], "frac_coords": [[0.5845, 0.9181, 0.7549], [0.7482, 0.7482, 0.2451], [0.4155, 0.0819, 0.2451], [0.9181, 0.5845, 0.7549], [0.2518, 0.2518, 0.7549], [0.0819, 0.4155, 0.2451], [0.1669, 0.8331, 0.5000], [0.8331, 0.1669, 0.5000], [0.5000, 0.5000, 0.5000], [0.0000, 0.0000, 0.0000], [0.6667, 0.3333, 0.0000], [0.3333, 0.6667, 0.0000]]}

=====

(6)
{"formula": "TbMgGe2", "functional": "GGA-PBE", "state": "relaxed", "sg": "R-3m (166)", "energy_ev_per_atom": -4.259, "lattice": [[-0.7519, 3.7826, -2.3194], [1.4149, 0.3476, -4.2580], [-4.1016, -0.4549, -3.7783]], "species": ["Tb", "Mg", "Ge", "Ge"], "frac_coords": [[0.0000, 0.0000, 0.0000], [0.5000, 0.5000, 0.5000], [0.2348, 0.2348, 0.2955], [0.7652, 0.7652, 0.7045]]}

=====

(7)
{"formula": "LaSn6Pd12", "functional": "GGA-PBE", "state": "relaxed", "sg": "R-3m (166)", "energy_ev_per_atom": -5.285, "lattice": [[7.5641, -0.0859, -0.1209], [-1.9582, 7.3067, -0.1209], [-1.9582, -2.5224, 6.8586]], "species": ["Pd", "Pd", "Pd", "Pd", "Pd", "Pd", "Pd", "Pd", "Pd", "Pd", "Pd", "Pd", "La", "Sn", "Sn", "Sn", "Sn", "Sn", "Sn"], "frac_coords": [[0.8834, 0.1166, 0.5000], [0.5000, 0.8834, 0.1166], [0.3743, 0.1271, 0.3743], [0.5000, 0.1166, 0.8834], [0.1166, 0.5000, 0.8834], [0.8729, 0.6257, 0.6257], [0.6257, 0.8729, 0.6257], [0.1166, 0.8834, 0.5000], [0.6257, 0.6257, 0.8729], [0.3743, 0.3743, 0.1271], [0.8834, 0.5000, 0.1166], [0.1271, 0.3743, 0.3743], [0.0000, 0.0000, 0.0000], [0.7234, 0.3020, 0.7234], [0.6980, 0.2766, 0.2766], [0.2766, 0.2766, 0.6980], [0.3020, 0.7234, 0.7234], [0.7234, 0.7234, 0.3020], [0.2766, 0.6980, 0.2766]]}

=====

(8)
{"formula": "AlZnAg4", "functional": "GGA-PBE", "state": "relaxed", "sg": "Cmmm (65)", "energy_ev_per_atom": -2.782, "lattice": [[4.5361, 0.0000, 0.0000], [-2.2681, 4.8566, -0.8083], [0.0000, 0.7399, 4.4454]], "species": ["Al", "Ag", "Ag", "Ag", "Ag", "Zn"], "frac_coords": [[0.0000, 0.5000, 0.5000], [0.8440, 0.1880, 0.9999], [0.1560, 0.8120, 0.0001], [0.3435, 0.1870, 0.5001], [0.6565, 0.8130, 0.4999], [0.5000, 0.5000, 0.0000]]}

=====

(9)
{"formula": "CeSmP2Rh2", "functional": "GGA-PBE", "state": "relaxed", "sg": "P-3m1 (164)", "energy_ev_per_atom": -7.278, "lattice": [[-2.9089, 2.5080, -1.4590], [-0.3947, -1.6449, 3.7442], [3.7682, 6.1812, 3.1127]], "species": ["Ce", "Rh", "Rh", "P", "P", "Sm"], "frac_coords": [[0.0000, 0.0000, 0.0000], [0.6667, 0.3333, 0.2343], [0.3333, 0.6667, 0.7657], [0.6667, 0.3333, 0.7400], [0.3333, 0.6667, 0.2600], [0.0000, 0.0000, 0.5000]]}

=====

(10)
{"formula": "CaMg2", "functional": "GGA-PBE", "state": "relaxed", "sg": "Cmcm (63)", "energy_ev_per_atom": -1.671, "lattice": [[9.1008, -0.0062, 0.0000], [-8.4552, 3.3667, 0.0000], [0.0000, 0.0000, 5.7028]], "species": ["Mg", "Mg", "Mg", "Mg", "Ca", "Ca"], "frac_coords": [[0.3911, 0.6089, 0.7500], [0.9557, 0.0443, 0.2500], [0.0443, 0.9557, 0.7500], [0.6089, 0.3911, 0.2500], [0.2878, 0.7122, 0.2500], [0.7122, 0.2878, 0.7500]]}

=====

(11)
{"formula": "Ce2Ho8Sc", "functional": "GGA-PBE", "state": "relaxed", "sg": "C2/m (12)", "energy_ev_per_atom": -4.751, "lattice": [[5.5474, -0.5426, -0.3790], [0.7188, 9.4349, 2.4071], [0.7188, 5.5070, 8.0302]], "species": ["Ho", "Ho", "Ho", "Ho", "Ho", "Ho", "Ho", "Ho", "Ce", "Ce", "Sc"], "frac_coords": [[0.7385, 0.3925, 0.8625], [0.7655, 0.4526, 0.4526], [0.2326, 0.1824, 0.1824], [0.2345, 0.5474, 0.5474], [0.7385, 0.8625, 0.3925], [0.2615, 0.6075, 0.1375], [0.2615, 0.1375, 0.6075], [0.7674, 0.8176, 0.8176], [0.2607, 0.7169, 0.7169], [0.7393, 0.2831, 0.2831], [0.0000, 0.0000, 0.0000]]}

=====

(12)
{"formula": "Nb3TeC", "functional": "GGA-PBE", "state": "relaxed", "sg": "Pm-3m (221)", "energy_ev_per_atom": -5.733, "lattice": [[5.0451, 0.0000, 0.0000], [0.0000, 5.0451, 0.0000], [0.0000, 0.0000, 5.0451]], "species": ["Nb", "Nb", "Nb", "C", "Te"], "frac_coords": [[0.0000, 0.0000, 0.5000], [0.5000, 0.0000, 0.0000], [0.0000, 0.5000, 0.0000], [0.5000, 0.5000, 0.5000], [0.0000, 0.0000, 0.0000]]}

=====

Copy entry 2 word for word.
{"formula": "Y4TlSnO", "functional": "GGA-PBE", "state": "relaxed", "sg": "Cmcm (63)", "energy_ev_per_atom": -6.517, "lattice": [[-6.0510, 1.9993, 1.2125], [-1.6582, -1.3035, -6.1256], [0.8766, -8.8719, 1.6506]], "species": ["O", "O", "Y", "Y", "Y", "Y", "Y", "Y", "Y", "Y", "Tl", "Tl", "Sn", "Sn"], "frac_coords": [[0.2726, 0.7500, 0.5452], [0.7274, 0.2500, 0.4548], [0.5814, 0.2500, 0.1628], [0.0692, 0.7500, 0.1383], [0.0000, 0.0000, 0.5000], [0.5000, 0.0000, 0.5000], [0.9308, 0.2500, 0.8617], [0.4186, 0.7500, 0.8372], [0.5000, 0.5000, 0.5000], [0.0000, 0.5000, 0.5000], [0.8876, 0.7500, 0.7751], [0.1124, 0.2500, 0.2249], [0.3895, 0.2500, 0.7789], [0.6105, 0.7500, 0.2211]]}

=====

Please write out number 7 again, unchanged.
{"formula": "LaSn6Pd12", "functional": "GGA-PBE", "state": "relaxed", "sg": "R-3m (166)", "energy_ev_per_atom": -5.285, "lattice": [[7.5641, -0.0859, -0.1209], [-1.9582, 7.3067, -0.1209], [-1.9582, -2.5224, 6.8586]], "species": ["Pd", "Pd", "Pd", "Pd", "Pd", "Pd", "Pd", "Pd", "Pd", "Pd", "Pd", "Pd", "La", "Sn", "Sn", "Sn", "Sn", "Sn", "Sn"], "frac_coords": [[0.8834, 0.1166, 0.5000], [0.5000, 0.8834, 0.1166], [0.3743, 0.1271, 0.3743], [0.5000, 0.1166, 0.8834], [0.1166, 0.5000, 0.8834], [0.8729, 0.6257, 0.6257], [0.6257, 0.8729, 0.6257], [0.1166, 0.8834, 0.5000], [0.6257, 0.6257, 0.8729], [0.3743, 0.3743, 0.1271], [0.8834, 0.5000, 0.1166], [0.1271, 0.3743, 0.3743], [0.0000, 0.0000, 0.0000], [0.7234, 0.3020, 0.7234], [0.6980, 0.2766, 0.2766], [0.2766, 0.2766, 0.6980], [0.3020, 0.7234, 0.7234], [0.7234, 0.7234, 0.3020], [0.2766, 0.6980, 0.2766]]}